# CrBiAs2C

A relaxed CrBiAs2C crystal (PBE, Alexandria).

```
CrBiAs2C
1.0
4.821 0.000 0.000
0.000 4.821 0.000
0.000 0.000 3.953
Cr Bi As C
1 1 2 1
Cartesian
0.000 0.000 0.000
2.410 2.410 0.000
0.000 2.410 1.976
2.410 0.000 1.976
0.000 0.000 1.976
```

- Symmetry: P4/mmm
- Formation enthalpy at 0 K: 757.0 meV per atom